# PBE Tb2Er2Pb2C, relaxed
# Spin magnetization   0.00 μB per cell
# DFT formation energy   -0.5851 eV/atom
data_Tb2Er2Pb2C
_space_group_name_H-M_alt 'I 4/m m m'
_space_group_IT_number 139
_space_group_name_Hall '-I 4 2'
_cell_length_a 4.791
_cell_length_b 4.791
_cell_length_c 16.157
_cell_angle_alpha 90.00
_cell_angle_beta 90.00
_cell_angle_gamma 90.00
loop_
_atom_site_label
_atom_site_fract_x
_atom_site_fract_y
_atom_site_fract_z
Tb1 0.000 0.000 0.157
Er1 0.000 0.500 0.000
Pb1 0.000 0.000 0.359
C1 0.000 0.000 0.000


# PBE LuInRuAu, relaxed
# Spin magnetization   0.00 μB per cell
# DFT formation energy   -0.3664 eV/atom
data_LuInRuAu
_space_group_name_H-M_alt 'F -4 3 m'
_space_group_IT_number 216
_space_group_name_Hall 'F -4 2 3'
_cell_length_a 6.730
_cell_length_b 6.730
_cell_length_c 6.730
_cell_angle_alpha 90.00
_cell_angle_beta 90.00
_cell_angle_gamma 90.00
loop_
_atom_site_label
_atom_site_fract_x
_atom_site_fract_y
_atom_site_fract_z
Lu1 0.000 0.000 0.000
In1 0.000 0.000 0.500
Ru1 0.250 0.250 0.250
Au1 0.250 0.250 0.750


# PBE GaI4, relaxed
# Spin magnetization   0.00 μB per cell
# Relative energy among the computed polymorphs   0.5 meV per atom
# Formation energy (no corrections)   -0.257 eV/atom
data_GaI4
_space_group_name_H-M_alt 'I -4 2 m'
_space_group_IT_number 121
_space_group_name_Hall 'I -4 2'
_cell_length_a 5.648
_cell_length_b 5.648
_cell_length_c 13.813
_cell_angle_alpha 90.00
_cell_angle_beta 90.00
_cell_angle_gamma 90.00
loop_
_atom_site_label
_atom_site_fract_x
_atom_site_fract_y
_atom_site_fract_z
Ga1 0.000 0.000 0.000
I1 0.246 0.246 0.617


# PBE Pr2PuSb3Pt4, relaxed
# Spin magnetization   5.37 μB per cell
# Formation energy (no corrections)   -0.830 eV/atom
data_Pr2PuSb3Pt4
_space_group_name_H-M_alt 'P -4 m 2'
_space_group_IT_number 115
_cell_length_a 4.560
_cell_length_b 4.560
_cell_length_c 11.427
_cell_angle_alpha 90.00
_cell_angle_beta 90.00
_cell_angle_gamma 90.00
loop_
_space_group_symop_operation_xyz
'x,y,z'
'y,-x,-z'
'-x,-y,z'
'-y,x,-z'
'-x,y,z'
'-y,-x,-z'
'x,-y,z'
'y,x,-z'
loop_
_atom_site_label
_atom_site_fract_x
_atom_site_fract_y
_atom_site_fract_z
Pr1 0.000 0.500 0.216
Pu1 0.000 0.000 0.500
Sb1 0.000 0.500 0.873
Sb2 0.500 0.500 0.500
Pt1 0.000 0.000 0.000
Pt2 0.000 0.500 0.647
Pt3 0.500 0.500 0.000